Entry 1:
DFT (GGA-PBE) results for Ca2Pd6Au9 after structural relaxation.

a b c (Å): 5.5082 5.5082 13.7260
angles (deg): 90.00 90.00 120.00
Space group P6/mmm (No. 191)
Symmetry-distinct sites (fractional):
1 Ca 0.0000 0.0000 0.1791 [2 per cell]
2 Pd 0.3333 0.6667 0.1669 [4 per cell]
3 Pd 0.3333 0.6667 0.5000 [2 per cell]
4 Au 0.0000 0.5000 0.0000 [3 per cell]
5 Au 0.0000 0.5000 0.3343 [6 per cell]

Results
**Formation enthalpy at 0 K**: -0.25 eV/atom



Entry 2:
DFT (GGA-PBE) results for TcSbBr2 after structural relaxation.

a b c (Å): 3.1464 3.1464 10.1642
angles (deg): 90.00 90.00 90.00
Space group P4/mmm (No. 123)
Symmetry-distinct sites (fractional):
1 Tc 0.0000 0.0000 0.0000 [1 per cell]
2 Sb 0.0000 0.0000 0.5000 [1 per cell]
3 Br 0.5000 0.5000 0.1551 [2 per cell]

Results
**Energy above the most stable polymorph in this dataset**: 509.1 meV per atom



Entry 3:
DFT (GGA-PBE) results for Pu2CuBi after structural relaxation.

a b c (Å): 7.4349 7.4349 7.4349
angles (deg): 90.00 90.00 90.00
Space group Fm-3m (No. 225)
Symmetry-distinct sites (fractional):
1 Pu 0.2500 0.2500 0.2500 [8 per cell]
2 Cu 0.0000 0.0000 0.0000 [4 per cell]
3 Bi 0.0000 0.0000 0.5000 [4 per cell]

Results
**Formation enthalpy at 0 K**: -0.07 eV/atom
**Energy above the most stable polymorph in this dataset**: 21.8 meV per atom



What is the formula in the second record?
TcSbBr2